DFT (PBE-GGA) results for an optimized crystal structure of Ba12Sn3Au5.

Its density of states at the Fermi level is 0.82 states/eV per atom. The value obtained for the total energy is -60.674 eV per formula unit.

The space group is Ia-3d (No. 230) and the conventional cell measures 19.850, 19.850 and 19.850 Å, with angles of 90.00, 90.00 and 90.00 degrees. The asymmetric unit holds Ba at (0.022, 0.068, 0.652), Sn at (0.000, 0.250, 0.125), Au at (0.000, 0.000, 0.000) and Au at (0.000, 0.250, 0.375).